Record 1
Here is a crystal of CrCd3Fe relaxed with PBEsol from the Alexandria database. Energies are from meta-GGA SCAN.

space group: Pm-3m (221)
DFT formation energy: 3.710 eV/f.u.
total DFT energy (no corrections): -124.0 eV for the cell shown
DOS(E_F): 0.5821 states/eV per atom
crystal system: cubic

Cell lengths 4.8403, 4.8403, 4.8403 Å; angles 90.00, 90.00, 90.00 degrees
Fractional coordinates of all 5 atoms:
Cr1 0.0000 0.0000 0.0000
Cd1 0.0000 0.5000 0.5000
Cd2 0.5000 0.0000 0.5000
Cd3 0.5000 0.5000 0.0000
Fe1 0.5000 0.5000 0.5000



Record 2
Here is a crystal of FeI3F relaxed with PBEsol from the Alexandria database. Energies are from meta-GGA SCAN.

space group: Pm-3m (221)
total DFT energy (no corrections): -131.4 eV for the cell shown
DOS(E_F): 1.0293 states/eV per atom
crystal system: cubic
formation energy (no corrections): 98 meV per atom

Cell lengths 5.1545, 5.1545, 5.1545 Å; angles 90.00, 90.00, 90.00 degrees
Fractional coordinates of all 5 atoms:
Fe1 0.0000 0.0000 0.0000
I1 0.0000 0.0000 0.5000
I2 0.0000 0.5000 0.0000
I3 0.5000 0.0000 0.0000
F1 0.5000 0.5000 0.5000



Record 3
Here is a crystal of LiAlRh2 relaxed with PBEsol from the Alexandria database. Energies are from meta-GGA SCAN.

space group: Cmmm (65)
DFT formation energy: -2.120 eV/f.u.
total DFT energy (no corrections): -79.8 eV for the cell shown
DOS(E_F): 0.4643 states/eV per atom
crystal system: orthorhombic

Cell lengths 2.7265, 2.7265, 7.9839 Å; angles 90.00, 90.00, 113.98 degrees
Fractional coordinates of all 4 atoms:
Li1 0.0000 0.0000 0.0000
Al1 0.0000 0.0000 0.5000
Rh1 0.5000 0.5000 0.2628
Rh2 0.5000 0.5000 0.7372



Record 4
Here is a crystal of BaBeSeN2 relaxed with PBEsol from the Alexandria database. Energies are from meta-GGA SCAN.

space group: P4/mmm (123)
total DFT energy (no corrections): -80.7 eV for the cell shown
DOS(E_F): 0.2858 states/eV per atom
crystal system: tetragonal
formation energy (no corrections): 381 meV per atom

Cell lengths 4.2642, 4.2642, 4.4565 Å; angles 90.00, 90.00, 90.00 degrees
Fractional coordinates of all 5 atoms:
Ba1 0.0000 0.0000 0.0000
Be1 0.5000 0.5000 0.5000
Se1 0.5000 0.5000 0.0000
N1 0.0000 0.5000 0.5000
N2 0.5000 0.0000 0.5000



Record 5
Here is a crystal of Ca4MgHg relaxed with PBEsol from the Alexandria database. Energies are from meta-GGA SCAN.

space group: F-43m (216)
DFT formation energy: 1.805 eV/f.u.
total DFT energy (no corrections): -110.0 eV for the cell shown
DOS(E_F): 0.8528 states/eV per atom
crystal system: cubic

Cell lengths 6.6811, 6.6811, 6.6811 Å; angles 60.00, 60.00, 60.00 degrees
Fractional coordinates of all 6 atoms:
Ca1 0.1250 0.1250 0.1250
Ca2 0.1250 0.1250 0.6250
Ca3 0.1250 0.6250 0.1250
Ca4 0.6250 0.1250 0.1250
Mg1 0.7500 0.7500 0.7500
Hg1 0.5000 0.5000 0.5000



Record 6
Here is a crystal of BaTlRh2 relaxed with PBEsol from the Alexandria database. Energies are from meta-GGA SCAN.

space group: I-4m2 (119)
DFT formation energy: 1.197 eV/f.u.
total DFT energy (no corrections): -178.3 eV for the cell shown
DOS(E_F): 1.2719 states/eV per atom
crystal system: tetragonal

Cell lengths 5.8338, 5.8338, 5.8338 Å; angles 139.44, 139.44, 58.71 degrees
Fractional coordinates of all 4 atoms:
Ba1 0.0000 0.0000 0.0000
Tl1 0.2500 0.7500 0.5000
Rh1 0.5000 0.5000 0.0000
Rh2 0.7500 0.2500 0.5000



- What is the total DFT energy (no corrections) in the first record?
  -124.0 eV for the cell shown



- Among the records above, which one has the highest DOS(E_F)?
  BaTlRh2



- Which value of DOS(E_F) does entry 2 give?
  1.0293 states/eV per atom